(1)
A plane-wave DFT calculation with GGA-PBE was carried out for an optimized crystal structure of Rb2NpTlTe4.

Summary:
- uncorrected formation energy (eV per atom) = -0.703

Structure (CIF):
```
data_Rb2NpTlTe4
_symmetry_space_group_name_H-M 'P 1 2/m 1'
_symmetry_Int_Tables_number 10
_cell_length_a 8.432
_cell_length_b 4.637
_cell_length_c 8.732
_cell_angle_alpha 90.00
_cell_angle_beta 107.24
_cell_angle_gamma 90.00
loop_
_symmetry_equiv_pos_as_xyz
'x,y,z'
'-x,-y,-z'
'-x,y,-z'
'x,-y,z'
loop_
_atom_site_label
_atom_site_type_symbol
_atom_site_fract_x
_atom_site_fract_y
_atom_site_fract_z
_atom_site_occupancy
Rb1 Rb 0.000 0.000 0.000 1
Rb2 Rb 0.500 0.500 0.000 1
Np1 Np 0.000 0.500 0.500 1
Tl1 Tl 0.500 0.000 0.500 1
Te1 Te 0.207 0.000 0.695 1
Te2 Te 0.228 0.500 0.301 1
```



(2)
A plane-wave DFT calculation with GGA-PBE was carried out for an optimized crystal structure of TiVTe2.

Summary:
- energy above the most stable polymorph in this dataset (eV per formula unit) = 1.82
- uncorrected formation energy (eV per atom) = 0.026

Structure (CIF):
```
data_TiVTe2
_symmetry_space_group_name_H-M 'R -3 m'
_symmetry_Int_Tables_number 166
_symmetry_space_group_name_Hall '-R 3 2"'
_cell_length_a 3.6590
_cell_length_b 3.6590
_cell_length_c 26.9433
_cell_angle_alpha 90.00
_cell_angle_beta 90.00
_cell_angle_gamma 120.00
loop_
_atom_site_label
_atom_site_type_symbol
_atom_site_fract_x
_atom_site_fract_y
_atom_site_fract_z
_atom_site_occupancy
Ti1 Ti 0.0000 0.0000 0.0000 1
V1 V 0.0000 0.0000 0.5000 1
Te1 Te 0.0000 0.0000 0.3992 1
```



(3)
A plane-wave DFT calculation with GGA-PBE was carried out for an optimized crystal structure of TbPrGaSi.

Summary:
- uncorrected formation energy (eV per atom) = -0.708

Structure (CIF):
```
data_TbPrGaSi
_symmetry_space_group_name_H-M 'A m m 2'
_symmetry_Int_Tables_number 38
_cell_length_a 4.024
_cell_length_b 4.402
_cell_length_c 11.076
_cell_angle_alpha 90.00
_cell_angle_beta 90.00
_cell_angle_gamma 90.00
loop_
_symmetry_equiv_pos_as_xyz
'x,y,z'
'-x,-y,z'
'-x,y,z'
'x,-y,z'
'x,y+1/2,z+1/2'
'-x,-y+1/2,z+1/2'
'-x,y+1/2,z+1/2'
'x,-y+1/2,z+1/2'
loop_
_atom_site_label
_atom_site_type_symbol
_atom_site_fract_x
_atom_site_fract_y
_atom_site_fract_z
_atom_site_occupancy
Tb1 Tb 0.000 0.000 0.000 1
Pr1 Pr 0.500 0.000 0.718 1
Ga1 Ga 0.000 0.000 0.292 1
Si1 Si 0.500 0.000 0.436 1
```



(4)
A plane-wave DFT calculation with GGA-PBE was carried out for an optimized crystal structure of AcPuScSn.

Summary:
- energy relative to the elements (meV per atom) = -39.9

Structure (CIF):
```
data_AcPuScSn
_symmetry_space_group_name_H-M 'F -4 3 m'
_symmetry_Int_Tables_number 216
_symmetry_space_group_name_Hall 'F -4 2 3'
_cell_length_a 7.650
_cell_length_b 7.650
_cell_length_c 7.650
_cell_angle_alpha 90.00
_cell_angle_beta 90.00
_cell_angle_gamma 90.00
loop_
_atom_site_label
_atom_site_type_symbol
_atom_site_fract_x
_atom_site_fract_y
_atom_site_fract_z
_atom_site_occupancy
Ac1 Ac 0.000 0.000 0.000 1
Pu1 Pu 0.250 0.250 0.750 1
Sc1 Sc 0.250 0.250 0.250 1
Sn1 Sn 0.000 0.000 0.500 1
```



(5)
A plane-wave DFT calculation with GGA-PBE was carried out for an optimized crystal structure of Tl2POs.

Summary:
- energy above the most stable polymorph in this dataset (eV per formula unit) = 0.00
- energy relative to the elements (meV per atom) = 158.0

Structure (CIF):
```
data_Tl2POs
_symmetry_space_group_name_H-M 'P 4 m m'
_symmetry_Int_Tables_number 99
_cell_length_a 3.097
_cell_length_b 3.097
_cell_length_c 8.950
_cell_angle_alpha 90.00
_cell_angle_beta 90.00
_cell_angle_gamma 90.00
loop_
_symmetry_equiv_pos_as_xyz
'x,y,z'
'-y,x,z'
'-x,-y,z'
'y,-x,z'
'-x,y,z'
'y,x,z'
'x,-y,z'
'-y,-x,z'
loop_
_atom_site_label
_atom_site_type_symbol
_atom_site_fract_x
_atom_site_fract_y
_atom_site_fract_z
_atom_site_occupancy
Tl1 Tl 0.000 0.000 0.000 1
Tl2 Tl 0.500 0.500 0.348 1
P1 P 0.500 0.500 0.728 1
Os1 Os 0.000 0.000 0.614 1
```



(6)
A plane-wave DFT calculation with GGA-PBE was carried out for an optimized crystal structure of Na3In5Ga.

Summary:
- energy relative to the elements (meV per atom) = 27.6

Structure (CIF):
```
data_Na3In5Ga
_symmetry_space_group_name_H-M 'I 4/m c m'
_symmetry_Int_Tables_number 140
_symmetry_space_group_name_Hall '-I 4 2c'
_cell_length_a 9.073
_cell_length_b 9.073
_cell_length_c 12.067
_cell_angle_alpha 90.00
_cell_angle_beta 90.00
_cell_angle_gamma 90.00
loop_
_atom_site_label
_atom_site_type_symbol
_atom_site_fract_x
_atom_site_fract_y
_atom_site_fract_z
_atom_site_occupancy
Na1 Na 0.000 0.000 0.250 1
Na2 Na 0.115 0.385 0.000 1
In1 In 0.000 0.000 0.000 1
In2 In 0.190 0.310 0.361 1
Ga1 Ga 0.000 0.500 0.250 1
```



no.,total magnetization (μB/atom)
1,0.26
2,1.02
3,0.04
4,1.79
5,0.00
6,0.00